No. 1
The following is a DFT calculation (PBE-GGA) of a geometry-optimized Na3LaNp2Te6 structure.

Lattice parameters (Å, degrees): 7.878 7.878 7.953 99.51 99.51 120.01
Site moments in Bohr magnetons follow the coordinates.
Fractional coordinates of all 12 atoms:
Te: 0.079 0.421 0.237  -0.05
Te: 0.421 0.079 0.237  -0.05
Te: 0.737 0.737 0.237  -0.05
Te: 0.263 0.263 0.763  -0.05
Te: 0.921 0.579 0.763  -0.05
Te: 0.579 0.921 0.763  -0.05
Na: 0.500 0.500 0.500  0.00
Na: 0.836 0.164 0.500  0.00
Na: 0.164 0.836 0.500  0.00
La: 0.000 0.000 0.000  0.04
Np: 0.333 0.667 0.000  4.00
Np: 0.667 0.333 0.000  4.00

* uncorrected formation energy: -97 kJ per mole of atoms

---

No. 2
The following is a DFT calculation (PBE-GGA) of a geometry-optimized Sm3Er2Tm6 structure.

Lattice parameters (Å, degrees): 4.699 4.699 16.808 98.03 98.03 90.00
Fractional coordinates of all 11 atoms:
Er: 0.454 0.454 0.907
Er: 0.546 0.546 0.093
Tm: 0.879 0.379 0.758
Tm: 0.379 0.879 0.758
Tm: 0.621 0.121 0.242
Tm: 0.307 0.307 0.614
Tm: 0.693 0.693 0.386
Tm: 0.121 0.621 0.242
Sm: 0.797 0.797 0.594
Sm: 0.203 0.203 0.406
Sm: 0.000 0.000 0.000

* formation energy from the elements: 283 meV per atom
* relative energy among the computed polymorphs: 0 meV per atom

---

No. 3
The following is a DFT calculation (PBE-GGA) of a geometry-optimized La12Tl5C2 structure.

Lattice parameters (Å, degrees): 7.570 10.257 9.672 118.08 90.00 111.65
Fractional coordinates of all 19 atoms:
La: 0.500 0.001 0.808
La: 0.500 0.999 0.192
La: 0.887 0.299 0.649
La: 0.588 0.701 0.351
La: 0.113 0.701 0.351
La: 0.593 0.694 0.847
La: 0.899 0.306 0.153
La: 0.999 0.999 0.177
La: 0.407 0.306 0.153
La: 0.001 0.001 0.823
La: 0.101 0.694 0.847
La: 0.412 0.299 0.649
Tl: 0.247 0.495 0.994
Tl: 0.000 0.000 0.500
Tl: 0.247 0.495 0.500
Tl: 0.753 0.505 0.500
Tl: 0.753 0.505 0.006
C: 0.739 0.000 0.000
C: 0.261 0.000 0.000

* formation energy from the elements: -221 meV per atom

---

No. 4
The following is a DFT calculation (PBE-GGA) of a geometry-optimized Rb2CuTe structure.

Lattice parameters (Å, degrees): 4.948 10.215 9.914 104.93 104.45 90.00
Fractional coordinates of all 8 atoms:
Rb: 0.877 0.935 0.745
Rb: 0.123 0.065 0.255
Rb: 0.868 0.435 0.745
Rb: 0.132 0.565 0.255
Cu: 0.247 0.750 0.000
Cu: 0.753 0.250 0.000
Te: 0.746 0.750 0.000
Te: 0.254 0.250 0.000

* uncorrected formation energy: -25 kJ per mole of atoms

---

No. 5
The following is a DFT calculation (PBE-GGA) of a geometry-optimized TbBRu4 structure.

Lattice parameters (Å, degrees): 4.265 5.887 7.451 90.00 106.63 90.00
Fractional coordinates of all 12 atoms:
Tb: 0.409 0.750 0.818
Tb: 0.591 0.250 0.182
B: 0.106 0.750 0.211
B: 0.894 0.250 0.789
Ru: 0.205 0.485 0.409
Ru: 0.205 0.015 0.409
Ru: 0.000 0.500 0.000
Ru: 0.795 0.985 0.591
Ru: 0.620 0.750 0.240
Ru: 0.380 0.250 0.760
Ru: 0.795 0.515 0.591
Ru: 0.000 0.000 0.000

* formation energy from the elements: -144 meV per atom

---

No. 6
The following is a DFT calculation (PBE-GGA) of a geometry-optimized AcGdAl2 structure.

Lattice parameters (Å, degrees): 3.800 3.800 9.829 78.86 78.86 60.00
Site moments in Bohr magnetons follow the coordinates.
Fractional coordinates of all 4 atoms:
Al: 0.255 0.255 0.234  -0.01
Al: 0.745 0.745 0.766  -0.01
Ac: 0.500 0.500 0.500  -0.03
Gd: 0.000 0.000 0.000  7.07

* formation energy from the elements: -27 meV per atom
* relative energy among the computed polymorphs: 277 meV per atom

---

No. 7
The following is a DFT calculation (PBE-GGA) of a geometry-optimized Dy3Sn2 structure.

Lattice parameters (Å, degrees): 6.115 6.115 8.814 110.30 110.30 90.00
Fractional coordinates of all 10 atoms:
Dy: 0.632 0.382 0.765
Dy: 0.132 0.882 0.265
Dy: 0.507 0.007 0.015
Dy: 0.132 0.382 0.265
Dy: 0.757 0.757 0.515
Dy: 0.132 0.382 0.765
Sn: 0.558 0.558 0.117
Sn: 0.706 0.206 0.413
Sn: 0.308 0.808 0.617
Sn: 0.956 0.956 0.913

* formation energy from the elements: -558 meV per atom

---

No. 8
The following is a DFT calculation (PBE-GGA) of a geometry-optimized BaCe2PbO8 structure.

Lattice parameters (Å, degrees): 3.742 5.586 8.801 94.19 90.01 89.99
Fractional coordinates of all 12 atoms:
O: 0.500 0.751 0.020
O: 0.500 0.249 0.980
O: 0.000 0.321 0.741
O: 0.000 0.198 0.218
O: 0.501 0.631 0.518
O: 0.499 0.369 0.482
O: 0.000 0.679 0.259
O: 0.000 0.802 0.782
Ce: 0.500 0.516 0.780
Ce: 0.500 0.484 0.220
Ba: 0.000 0.000 0.500
Pb: 0.000 0.000 0.000

* uncorrected formation energy: -221 kJ per mole of atoms